1.
A geometry-optimized HfBeH2 structure. Source: Alexandria via LeMat-Bulk, functional GGA-PBE.

a b c (Å): 3.590 3.590 3.590
angles (deg): 60.00 60.00 60.00
Atoms (fractional coordinates):
1 Hf 0.000 0.000 0.000
2 Be 0.500 0.500 0.500
3 H 0.250 0.250 0.250
4 H 0.750 0.750 0.750

Calculated values
crystal system = cubic
distance to the lowest polymorph of the same formula = 23.2 meV/atom

2.
A geometry-optimized HfBeH3 structure. Source: Alexandria via LeMat-Bulk, functional GGA-PBE.

a b c (Å): 3.284 3.284 3.284
angles (deg): 90.00 90.00 90.00
Atoms (fractional coordinates):
1 Hf 0.000 0.000 0.000
2 Be 0.500 0.500 0.500
3 H 0.000 0.500 0.500
4 H 0.500 0.000 0.500
5 H 0.500 0.500 0.000

Calculated values
crystal system = cubic
distance to the lowest polymorph of the same formula = 0.0 meV/atom

3.
A geometry-optimized HfBe3H structure. Source: Alexandria via LeMat-Bulk, functional GGA-PBE.

a b c (Å): 3.689 3.689 3.689
angles (deg): 90.00 90.00 90.00
Atoms (fractional coordinates):
1 Hf 0.000 0.000 0.000
2 Be 0.000 0.500 0.500
3 Be 0.500 0.000 0.500
4 Be 0.500 0.500 0.000
5 H 0.500 0.500 0.500

Calculated values
crystal system = cubic
distance to the lowest polymorph of the same formula = 0.0 meV/atom

4.
A geometry-optimized Hf2BeH structure. Source: Alexandria via LeMat-Bulk, functional GGA-PBE.

a b c (Å): 6.878 6.878 6.878
angles (deg): 141.05 141.05 56.26
Atoms (fractional coordinates):
1 Hf 0.083 0.625 0.958
2 Hf 0.375 0.333 0.458
3 Hf 0.667 0.125 0.042
4 Hf 0.875 0.917 0.542
5 Be 0.250 0.750 0.500
6 Be 0.500 0.500 0.000
7 H 0.000 0.000 0.000
8 H 0.750 0.250 0.500

Calculated values
crystal system = tetragonal
distance to the lowest polymorph of the same formula = 513.5 meV/atom

5.
A geometry-optimized HfBeH structure. Source: Alexandria via LeMat-Bulk, functional GGA-PBE.

a b c (Å): 6.809 3.547 5.283
angles (deg): 90.00 90.00 90.00
Atoms (fractional coordinates):
1 Hf 0.179 0.250 0.130
2 Hf 0.321 0.750 0.630
3 Hf 0.679 0.250 0.370
4 Hf 0.821 0.750 0.870
5 Be 0.028 0.250 0.602
6 Be 0.472 0.750 0.102
7 Be 0.528 0.250 0.898
8 Be 0.972 0.750 0.398
9 H 0.119 0.750 0.944
10 H 0.381 0.250 0.444
11 H 0.619 0.750 0.556
12 H 0.881 0.250 0.056

Calculated values
crystal system = orthorhombic
distance to the lowest polymorph of the same formula = 0.0 meV/atom

6.
A geometry-optimized Hf3BeH3 structure. Source: Alexandria via LeMat-Bulk, functional GGA-PBE.

a b c (Å): 5.595 5.595 5.595
angles (deg): 90.00 90.00 90.00
Atoms (fractional coordinates):
1 Hf 0.000 0.250 0.500
2 Hf 0.000 0.750 0.500
3 Hf 0.250 0.500 0.000
4 Hf 0.500 0.000 0.250
5 Hf 0.500 0.000 0.750
6 Hf 0.750 0.500 0.000
7 Be 0.000 0.000 0.000
8 Be 0.500 0.500 0.500
9 H 0.000 0.500 0.250
10 H 0.000 0.500 0.750
11 H 0.250 0.000 0.500
12 H 0.500 0.250 0.000
13 H 0.500 0.750 0.000
14 H 0.750 0.000 0.500

Calculated values
DFT total energy = -89.14 eV for the cell shown
crystal system = cubic

7.
A geometry-optimized HfBeH2 structure. Source: Alexandria via LeMat-Bulk, functional GGA-PBE.

a b c (Å): 5.480 5.480 5.480
angles (deg): 138.30 138.30 60.44
Atoms (fractional coordinates):
1 Hf 0.000 0.000 0.000
2 Hf 0.750 0.250 0.500
3 Be 0.250 0.750 0.500
4 Be 0.500 0.500 0.000
5 H 0.217 0.625 0.092
6 H 0.375 0.467 0.592
7 H 0.533 0.125 0.908
8 H 0.875 0.783 0.408

Calculated values
crystal system = tetragonal
distance to the lowest polymorph of the same formula = 0.0 meV/atom

8.
A geometry-optimized HfBeH4 structure. Source: Alexandria via LeMat-Bulk, functional GGA-PBE.

a b c (Å): 4.868 4.868 5.204
angles (deg): 104.72 104.72 116.17
Atoms (fractional coordinates):
1 Hf 0.109 0.891 0.750
2 Hf 0.891 0.109 0.250
3 Be 0.450 0.550 0.750
4 Be 0.550 0.450 0.250
5 H 0.069 0.244 0.678
6 H 0.244 0.069 0.178
7 H 0.264 0.595 0.496
8 H 0.405 0.736 0.004
9 H 0.595 0.264 0.996
10 H 0.736 0.405 0.504
11 H 0.756 0.931 0.822
12 H 0.931 0.756 0.322

Calculated values
DFT total energy = -55.22 eV for the cell shown
crystal system = monoclinic

Total magnetic moment
In order: 0.0 0.0 0.0 0.0 0.0 0.0 0.0 0.0
Unit: μB/f.u.